Record 1
VASP calculation (PBE-GGA) on a geometry-optimized PrRuC structure.

abc: 3.4706 5.7422 5.9057
angles: 108.63 90.16 101.37
Space group P-1 (No. 2)
Unique sites:
Pr1 0.1612 0.2054 0.3213
Ru1 0.2997 0.6580 0.1432
C1 0.2423 0.4759 0.7724

Output
N(E_F)	4.41	states/eV per cell
distance to the lowest polymorph of the same formula	0	meV/atom
energy	-7.8176	eV per atom
formation energy	-5.6	kJ per mole of atoms

---

Record 2
VASP calculation (PBE-GGA) on a geometry-optimized Na2AgH2 structure.

abc: 4.1446 4.1446 9.5121
angles: 90.00 90.00 90.00
Space group I4/mmm (No. 139)
Unique sites:
Na1 0.0000 0.0000 0.1719
Ag1 0.0000 0.0000 0.5000
H1 0.0000 0.5000 0.2500

Output
N(E_F)	2.48	states/eV per cell
distance to the lowest polymorph of the same formula	130	meV/atom
energy	-2.1900	eV per atom